<w>
! CrS2NCl | the Alexandria database | GGA-PBE | relaxed; values from VASP
! - total magnetization (μB per atom) = 0.315
&SYSTEM
  ibrav = 0, nat = 5, ntyp = 4
/
ATOMIC_SPECIES
Cr 52.00 Cr.upf
Cl 35.45 Cl.upf
S 32.06 S.upf
N 14.01 N.upf
CELL_PARAMETERS angstrom
4.4409 0.0000 0.0000
0.0000 4.4409 0.0000
0.0000 0.0000 4.9694
ATOMIC_POSITIONS crystal
Cr 0.0000 0.0000 0.0000
Cl 0.0000 0.0000 0.5000
S 0.5000 0.0000 0.0000
S 0.0000 0.5000 0.0000
N 0.5000 0.5000 0.5000

<x>
! CrS2NCl | the Alexandria database | GGA-PBE | relaxed; values from VASP
! - total magnetization (μB per atom) = 0.740
&SYSTEM
  ibrav = 0, nat = 5, ntyp = 4
/
ATOMIC_SPECIES
S 32.06 S.upf
Cl 35.45 Cl.upf
N 14.01 N.upf
Cr 52.00 Cr.upf
CELL_PARAMETERS angstrom
4.0498 0.0000 0.0000
0.0000 4.0498 0.0000
0.0000 0.0000 4.5917
ATOMIC_POSITIONS crystal
S 0.5000 0.0000 0.0000
S 0.0000 0.5000 0.0000
Cl 0.0000 0.0000 0.5000
N 0.0000 0.0000 0.0000
Cr 0.5000 0.5000 0.5000

<y>
! CrS2NCl | the Alexandria database | GGA-PBE | relaxed; values from VASP
! - total magnetization (μB per atom) = 0.021
&SYSTEM
  ibrav = 0, nat = 5, ntyp = 4
/
ATOMIC_SPECIES
Cl 35.45 Cl.upf
S 32.06 S.upf
N 14.01 N.upf
Cr 52.00 Cr.upf
CELL_PARAMETERS angstrom
4.7405 0.0000 0.0000
0.0000 4.7405 0.0000
0.0000 0.0000 3.3474
ATOMIC_POSITIONS crystal
Cl 0.0000 0.0000 0.0000
S 0.0000 0.5000 0.0000
S 0.5000 0.0000 0.0000
N 0.0000 0.0000 0.5000
Cr 0.5000 0.5000 0.5000

<z>
! CrS2NCl | the Alexandria database | GGA-PBE | relaxed; values from VASP
! - total magnetization (μB per atom) = 0.001
&SYSTEM
  ibrav = 0, nat = 5, ntyp = 4
/
ATOMIC_SPECIES
S 32.06 S.upf
N 14.01 N.upf
Cr 52.00 Cr.upf
Cl 35.45 Cl.upf
CELL_PARAMETERS angstrom
-4.4769 1.2207 -0.1624
-0.9734 -3.1329 3.2858
0.5800 2.4622 2.5195
ATOMIC_POSITIONS crystal
S 0.0000 0.5000 0.0000
S 0.5000 0.0000 0.0000
N 0.0000 0.0000 0.5000
Cr 0.0000 0.0000 0.0000
Cl 0.5000 0.5000 0.5000

Which one sits at the bottom of the stability order? <y> does.

<w>
! CrSeN2Cl | the Alexandria database | GGA-PBE | relaxed; values from VASP
! - total magnetization (μB per atom) = 0.104
&SYSTEM
  ibrav = 0, nat = 5, ntyp = 4
/
ATOMIC_SPECIES
Se 78.96 Se.upf
N 14.01 N.upf
Cr 52.00 Cr.upf
Cl 35.45 Cl.upf
CELL_PARAMETERS angstrom
-0.1322 0.8301 -3.7356
-0.4895 -3.7108 -0.8073
-4.7004 0.5569 0.2902
ATOMIC_POSITIONS crystal
Se 0.0000 0.0000 0.5000
N 0.5000 0.0000 0.0000
N 0.0000 0.5000 0.0000
Cr 0.5000 0.5000 0.5000
Cl 0.0000 0.0000 0.0000

<x>
! CrSeN2Cl | the Alexandria database | GGA-PBE | relaxed; values from VASP
! - total magnetization (μB per atom) = 0.000
&SYSTEM
  ibrav = 0, nat = 5, ntyp = 4
/
ATOMIC_SPECIES
Se 78.96 Se.upf
N 14.01 N.upf
Cl 35.45 Cl.upf
Cr 52.00 Cr.upf
CELL_PARAMETERS angstrom
-0.0376 3.5341 0.9910
0.8121 -0.9585 3.4490
5.1937 0.3694 -1.1203
ATOMIC_POSITIONS crystal
Se 0.0000 0.0000 0.5000
N 0.5000 0.0000 0.0000
N 0.0000 0.5000 0.0000
Cl 0.5000 0.5000 0.5000
Cr 0.0000 0.0000 0.0000

Which one sits at the bottom of the stability order? <w> does.

<w>
! Na2CrCl4 | the Alexandria database | GGA-PBE | relaxed; values from VASP
! - total magnetization (μB per atom) = 0.571
&SYSTEM
  ibrav = 0, nat = 14, ntyp = 3
/
ATOMIC_SPECIES
Na 22.99 Na.upf
Cl 35.45 Cl.upf
Cr 52.00 Cr.upf
CELL_PARAMETERS angstrom
-6.7304 -5.9954 7.2486
-0.8023 -2.6517 -2.9381
5.4393 -4.1073 1.6533
ATOMIC_POSITIONS crystal
Na 0.1820 0.4785 0.4031
Na 0.6820 0.5215 0.0969
Na 0.3180 0.4785 0.9031
Na 0.8180 0.5215 0.5969
Cl 0.6946 0.0138 0.3865
Cl 0.9526 0.5720 0.2409
Cl 0.0474 0.4280 0.7591
Cl 0.4526 0.4280 0.2591
Cl 0.5474 0.5720 0.7409
Cl 0.8054 0.0138 0.8865
Cl 0.3054 0.9862 0.6135
Cl 0.1946 0.9862 0.1135
Cr 0.0000 0.0000 0.0000
Cr 0.5000 0.0000 0.5000

<x>
! Na2CrCl4 | the Alexandria database | GGA-PBE | relaxed; values from VASP
! - total magnetization (μB per atom) = 0.571
&SYSTEM
  ibrav = 0, nat = 7, ntyp = 3
/
ATOMIC_SPECIES
Cr 52.00 Cr.upf
Cl 35.45 Cl.upf
Na 22.99 Na.upf
CELL_PARAMETERS angstrom
-4.3788 0.3676 -2.2967
-0.7038 -4.8758 0.5614
-5.6784 -1.0912 5.2994
ATOMIC_POSITIONS crystal
Cr 0.0000 0.0000 0.0000
Cl 0.1723 0.1723 0.6553
Cl 0.8277 0.8277 0.3447
Cl 0.5000 0.0000 0.0000
Cl 0.0000 0.5000 0.0000
Na 0.3640 0.3640 0.2719
Na 0.6360 0.6360 0.7281

Which one sits at the bottom of the stability order? <x> does.

<w>
! Na2CrCl4 | the Alexandria database | GGA-PBE | relaxed; values from VASP
! - total magnetization (μB per atom) = 0.571
&SYSTEM
  ibrav = 0, nat = 7, ntyp = 3
/
ATOMIC_SPECIES
Cl 35.45 Cl.upf
Na 22.99 Na.upf
Cr 52.00 Cr.upf
CELL_PARAMETERS angstrom
-3.2376 1.1010 1.9076
-2.7645 2.0859 -5.8958
-1.7533 -6.5592 0.8102
ATOMIC_POSITIONS crystal
Cl 0.5000 0.2103 0.2103
Cl 0.5000 0.7897 0.7897
Cl 0.0000 0.7786 0.2214
Cl 0.0000 0.2214 0.7786
Na 0.5000 0.0000 0.5000
Na 0.5000 0.5000 0.0000
Cr 0.0000 0.0000 0.0000

<x>
! Na2CrCl4 | the Alexandria database | GGA-PBE | relaxed; values from VASP
! - total magnetization (μB per atom) = 0.571
&SYSTEM
  ibrav = 0, nat = 14, ntyp = 3
/
ATOMIC_SPECIES
Cl 35.45 Cl.upf
Na 22.99 Na.upf
Cr 52.00 Cr.upf
CELL_PARAMETERS angstrom
-6.9225 0.6431 0.9867
-1.1468 -2.0877 -6.6855
1.7766 -7.1927 1.9413
ATOMIC_POSITIONS crystal
Cl 0.0066 0.7500 0.3636
Cl 0.9883 0.2500 0.1070
Cl 0.5249 0.0107 0.7524
Cl 0.9934 0.2500 0.6364
Cl 0.0117 0.7500 0.8930
Cl 0.4751 0.9893 0.2476
Cl 0.5249 0.4893 0.7524
Cl 0.4751 0.5107 0.2476
Na 0.2755 0.2500 0.4460
Na 0.7245 0.7500 0.5540
Na 0.3049 0.2500 0.9513
Na 0.6951 0.7500 0.0487
Cr 0.7697 0.2500 0.8134
Cr 0.2303 0.7500 0.1866

Which one sits at the bottom of the stability order? <x> does.

<w>
! Na3CrCl | the Alexandria database | GGA-PBE | relaxed; values from VASP
! - total magnetization (μB per atom) = 1.193
&SYSTEM
  ibrav = 0, nat = 5, ntyp = 3
/
ATOMIC_SPECIES
Na 22.99 Na.upf
Cr 52.00 Cr.upf
Cl 35.45 Cl.upf
CELL_PARAMETERS angstrom
-5.2956 -1.5445 -1.9314
-1.5105 -1.5940 5.4163
-1.9581 5.4067 1.0451
ATOMIC_POSITIONS crystal
Na 0.0000 0.5000 0.0000
Na 0.0000 0.0000 0.5000
Na 0.5000 0.0000 0.0000
Cr 0.0000 0.0000 0.0000
Cl 0.5000 0.5000 0.5000

<x>
! Na3CrCl | the Alexandria database | GGA-PBE | relaxed; values from VASP
! - total magnetization (μB per atom) = 1.132
&SYSTEM
  ibrav = 0, nat = 5, ntyp = 3
/
ATOMIC_SPECIES
Na 22.99 Na.upf
Cl 35.45 Cl.upf
Cr 52.00 Cr.upf
CELL_PARAMETERS angstrom
5.3741 0.0000 0.0000
0.0000 5.3741 0.0000
0.0000 0.0000 5.3741
ATOMIC_POSITIONS crystal
Na 0.0000 0.5000 0.0000
Na 0.5000 0.0000 0.0000
Na 0.0000 0.0000 0.5000
Cl 0.0000 0.0000 0.0000
Cr 0.5000 0.5000 0.5000

Which one sits at the bottom of the stability order? <w> does.

<w>
! NaCr2Cl | the Alexandria database | GGA-PBE | relaxed; values from VASP
! - total magnetization (μB per atom) = 0.000
&SYSTEM
  ibrav = 0, nat = 8, ntyp = 3
/
ATOMIC_SPECIES
Cr 52.00 Cr.upf
Cl 35.45 Cl.upf
Na 22.99 Na.upf
CELL_PARAMETERS angstrom
3.4146 0.0000 0.0000
0.0000 3.4146 0.0000
1.7073 1.7073 12.9794
ATOMIC_POSITIONS crystal
Cr 0.0764 0.1250 0.2500
Cr 0.8750 0.3264 0.7500
Cr 0.3750 0.9236 0.7500
Cr 0.6736 0.6250 0.2500
Cl 0.7500 0.2500 0.5000
Cl 0.0000 0.0000 0.0000
Na 0.5000 0.5000 0.0000
Na 0.2500 0.7500 0.5000

<x>
! NaCr2Cl | the Alexandria database | GGA-PBE | relaxed; values from VASP
! - total magnetization (μB per atom) = 2.495
&SYSTEM
  ibrav = 0, nat = 4, ntyp = 3
/
ATOMIC_SPECIES
Cr 52.00 Cr.upf
Cl 35.45 Cl.upf
Na 22.99 Na.upf
CELL_PARAMETERS angstrom
0.0000 3.5481 3.5481
3.5481 0.0000 3.5481
3.5481 3.5481 0.0000
ATOMIC_POSITIONS crystal
Cr 0.7500 0.7500 0.7500
Cr 0.2500 0.2500 0.2500
Cl 0.5000 0.5000 0.5000
Na 0.0000 0.0000 0.0000

Which one sits at the bottom of the stability order? <x> does.

<w>
! NaCrP2Cl | the Alexandria database | GGA-PBE | relaxed; values from VASP
! - total magnetization (μB per atom) = 0.019
&SYSTEM
  ibrav = 0, nat = 5, ntyp = 4
/
ATOMIC_SPECIES
Na 22.99 Na.upf
P 30.97 P.upf
Cl 35.45 Cl.upf
Cr 52.00 Cr.upf
CELL_PARAMETERS angstrom
4.8628 0.0000 0.0000
0.0000 4.8628 0.0000
0.0000 0.0000 4.7206
ATOMIC_POSITIONS crystal
Na 0.0000 0.0000 0.0000
P 0.0000 0.5000 0.0000
P 0.5000 0.0000 0.0000
Cl 0.0000 0.0000 0.5000
Cr 0.5000 0.5000 0.5000

<x>
! NaCrP2Cl | the Alexandria database | GGA-PBE | relaxed; values from VASP
! - total magnetization (μB per atom) = 0.168
&SYSTEM
  ibrav = 0, nat = 5, ntyp = 4
/
ATOMIC_SPECIES
Na 22.99 Na.upf
P 30.97 P.upf
Cr 52.00 Cr.upf
Cl 35.45 Cl.upf
CELL_PARAMETERS angstrom
-2.4442 3.4603 -0.8998
-1.9671 -0.3913 3.8385
3.9067 3.3694 2.3454
ATOMIC_POSITIONS crystal
Na 0.5000 0.5000 0.5000
P 0.0000 0.5000 0.0000
P 0.5000 0.0000 0.0000
Cr 0.0000 0.0000 0.0000
Cl 0.0000 0.0000 0.5000

Which one sits at the bottom of the stability order? <w> does.

<w>
! NaCrSCl2 | the Alexandria database | GGA-PBE | relaxed; values from VASP
! - total magnetization (μB per atom) = 0.600
&SYSTEM
  ibrav = 0, nat = 5, ntyp = 4
/
ATOMIC_SPECIES
Cr 52.00 Cr.upf
Cl 35.45 Cl.upf
S 32.06 S.upf
Na 22.99 Na.upf
CELL_PARAMETERS angstrom
4.9800 0.0000 0.0000
0.0000 4.9800 0.0000
0.0000 0.0000 4.5249
ATOMIC_POSITIONS crystal
Cr 0.0000 0.0000 0.0000
Cl 0.5000 0.0000 0.0000
Cl 0.0000 0.5000 0.0000
S 0.0000 0.0000 0.5000
Na 0.5000 0.5000 0.5000

<x>
! NaCrSCl2 | the Alexandria database | GGA-PBE | relaxed; values from VASP
! - total magnetization (μB per atom) = 0.600
&SYSTEM
  ibrav = 0, nat = 5, ntyp = 4
/
ATOMIC_SPECIES
Cr 52.00 Cr.upf
Cl 35.45 Cl.upf
Na 22.99 Na.upf
S 32.06 S.upf
CELL_PARAMETERS angstrom
4.9365 0.0000 0.0000
0.0000 4.9365 0.0000
0.0000 0.0000 5.1682
ATOMIC_POSITIONS crystal
Cr 0.5000 0.5000 0.5000
Cl 0.0000 0.5000 0.0000
Cl 0.5000 0.0000 0.0000
Na 0.0000 0.0000 0.0000
S 0.0000 0.0000 0.5000

Which one sits at the bottom of the stability order? <x> does.

<w>
! NbCr2Cl | the Alexandria database | GGA-PBE | relaxed; values from VASP
! - total magnetization (μB per atom) = 0.999
&SYSTEM
  ibrav = 0, nat = 8, ntyp = 3
/
ATOMIC_SPECIES
Cr 52.00 Cr.upf
Nb 92.91 Nb.upf
Cl 35.45 Cl.upf
CELL_PARAMETERS angstrom
6.9694 0.0000 0.0000
0.0000 6.9694 0.0000
3.4847 3.4847 2.5577
ATOMIC_POSITIONS crystal
Cr 0.8750 0.8049 0.7500
Cr 0.5549 0.1250 0.2500
Cr 0.3750 0.4451 0.7500
Cr 0.1951 0.6250 0.2500
Nb 0.7500 0.2500 0.5000
Nb 0.0000 0.0000 0.0000
Cl 0.5000 0.5000 0.0000
Cl 0.2500 0.7500 0.5000

<x>
! NbCr2Cl | the Alexandria database | GGA-PBE | relaxed; values from VASP
! - total magnetization (μB per atom) = 1.204
&SYSTEM
  ibrav = 0, nat = 4, ntyp = 3
/
ATOMIC_SPECIES
Cl 35.45 Cl.upf
Cr 52.00 Cr.upf
Nb 92.91 Nb.upf
CELL_PARAMETERS angstrom
0.0000 3.1814 3.1814
3.1814 0.0000 3.1814
3.1814 3.1814 0.0000
ATOMIC_POSITIONS crystal
Cl 0.0000 0.0000 0.0000
Cr 0.7500 0.7500 0.7500
Cr 0.2500 0.2500 0.2500
Nb 0.5000 0.5000 0.5000

Which one sits at the bottom of the stability order? <x> does.

<w>
! Nb3CrCl | the Alexandria database | GGA-PBE | relaxed; values from VASP
! - total magnetization (μB per atom) = 0.428
&SYSTEM
  ibrav = 0, nat = 5, ntyp = 3
/
ATOMIC_SPECIES
Cl 35.45 Cl.upf
Nb 92.91 Nb.upf
Cr 52.00 Cr.upf
CELL_PARAMETERS angstrom
4.5600 0.0000 0.0000
0.0000 4.5600 0.0000
0.0000 0.0000 4.5600
ATOMIC_POSITIONS crystal
Cl 0.0000 0.0000 0.0000
Nb 0.0000 0.0000 0.5000
Nb 0.5000 0.0000 0.0000
Nb 0.0000 0.5000 0.0000
Cr 0.5000 0.5000 0.5000

<x>
! Nb3CrCl | the Alexandria database | GGA-PBE | relaxed; values from VASP
! - total magnetization (μB per atom) = 0.000
&SYSTEM
  ibrav = 0, nat = 5, ntyp = 3
/
ATOMIC_SPECIES
Nb 92.91 Nb.upf
Cl 35.45 Cl.upf
Cr 52.00 Cr.upf
CELL_PARAMETERS angstrom
-1.9440 -1.9791 3.7877
3.8804 0.9260 2.4754
-1.7905 4.1555 1.2523
ATOMIC_POSITIONS crystal
Nb 0.5000 0.0000 0.0000
Nb 0.0000 0.5000 0.0000
Nb 0.0000 0.0000 0.5000
Cl 0.5000 0.5000 0.5000
Cr 0.0000 0.0000 0.0000

Which one sits at the bottom of the stability order? <x> does.

<w>
! NbCrCl3 | the Alexandria database | GGA-PBE | relaxed; values from VASP
! - total magnetization (μB per atom) = 0.053
&SYSTEM
  ibrav = 0, nat = 5, ntyp = 3
/
ATOMIC_SPECIES
Cl 35.45 Cl.upf
Nb 92.91 Nb.upf
Cr 52.00 Cr.upf
CELL_PARAMETERS angstrom
4.8514 0.0000 0.0000
0.0000 4.8514 0.0000
0.0000 0.0000 4.8514
ATOMIC_POSITIONS crystal
Cl 0.0000 0.0000 0.5000
Cl 0.0000 0.5000 0.0000
Cl 0.5000 0.0000 0.0000
Nb 0.5000 0.5000 0.5000
Cr 0.0000 0.0000 0.0000

<x>
! NbCrCl3 | the Alexandria database | GGA-PBE | relaxed; values from VASP
! - total magnetization (μB per atom) = 1.600
&SYSTEM
  ibrav = 0, nat = 5, ntyp = 3
/
ATOMIC_SPECIES
Cl 35.45 Cl.upf
Nb 92.91 Nb.upf
Cr 52.00 Cr.upf
CELL_PARAMETERS angstrom
5.0522 0.0000 0.0000
0.0000 5.0522 0.0000
0.0000 0.0000 5.0522
ATOMIC_POSITIONS crystal
Cl 0.0000 0.5000 0.0000
Cl 0.0000 0.0000 0.5000
Cl 0.5000 0.0000 0.0000
Nb 0.0000 0.0000 0.0000
Cr 0.5000 0.5000 0.5000

Which one sits at the bottom of the stability order? <w> does.

<w>
! Nb2CrCl | the Alexandria database | GGA-PBE | relaxed; values from VASP
! - total magnetization (μB per atom) = 0.000
&SYSTEM
  ibrav = 0, nat = 4, ntyp = 3
/
ATOMIC_SPECIES
Cr 52.00 Cr.upf
Cl 35.45 Cl.upf
Nb 92.91 Nb.upf
CELL_PARAMETERS angstrom
1.9576 -2.7700 2.9293
-0.1166 0.9272 4.3832
-2.5119 -2.4912 2.7514
ATOMIC_POSITIONS crystal
Cr 0.5000 0.5000 0.5000
Cl 0.0000 0.0000 0.0000
Nb 0.2500 0.2500 0.2500
Nb 0.7500 0.7500 0.7500

<x>
! Nb2CrCl | the Alexandria database | GGA-PBE | relaxed; values from VASP
! - total magnetization (μB per atom) = 0.000
&SYSTEM
  ibrav = 0, nat = 8, ntyp = 3
/
ATOMIC_SPECIES
Nb 92.91 Nb.upf
Cr 52.00 Cr.upf
Cl 35.45 Cl.upf
CELL_PARAMETERS angstrom
4.9012 0.0000 0.0000
0.0000 4.9012 0.0000
2.4506 2.4506 6.8506
ATOMIC_POSITIONS crystal
Nb 0.3750 0.3461 0.7500
Nb 0.0961 0.6250 0.2500
Nb 0.8750 0.9039 0.7500
Nb 0.6539 0.1250 0.2500
Cr 0.7500 0.2500 0.5000
Cr 0.0000 0.0000 0.0000
Cl 0.2500 0.7500 0.5000
Cl 0.5000 0.5000 0.0000

Which one sits at the bottom of the stability order? <x> does.